Density functional theory data (PBE) for an optimized crystal structure of Ac2Sb2O.

Lattice parameters (Å, degrees): 11.514 11.514 6.557 90.00 90.00 158.17
Sites, in units of the cell vectors:
Ac1 0.093 0.907 0.500
Ac2 0.331 0.669 0.571
Ac3 0.669 0.331 0.071
Ac4 0.907 0.093 0.000
Sb1 0.293 0.707 0.073
Sb2 0.491 0.509 0.311
Sb3 0.509 0.491 0.811
Sb4 0.707 0.293 0.573
O1 0.133 0.867 0.172
O2 0.867 0.133 0.672

## Properties
N(E_F)   2.72 states/eV/f.u.
Formation energy from raw total energies   -1.590 eV/atom
Final energy   -5.874 eV per atom